[1]
The following is a DFT calculation (meta-GGA SCAN) of a PBEsol-optimized structure of TlInHg2.

Fermi-level density of states (states/eV/atom): 0.423
E (eV per atom): -60.491
Total magnetic moment (μB per cell): 0.0
Space group: Immm

abc: 3.520 5.493 6.153
angles: 116.51 106.62 90.00
Fractional positions:
Tl 0.000 0.500 0.000
Hg 0.758 0.758 0.516
Hg 0.242 0.242 0.484
In 0.500 0.000 0.000

***

[2]
The following is a DFT calculation (meta-GGA SCAN) of a PBEsol-optimized structure of TlIn2Hg2.

Fermi-level density of states (states/eV/atom): 0.374
E (eV per atom): -55.073
Total magnetic moment (μB per cell): 0.0
Space group: I4/mmm

abc: 4.413 4.413 7.444
angles: 107.24 107.24 90.00
Fractional positions:
Tl 0.000 0.000 0.000
Hg 0.397 0.397 0.795
Hg 0.603 0.603 0.205
In 0.250 0.750 0.500
In 0.750 0.250 0.500

***

[3]
The following is a DFT calculation (meta-GGA SCAN) of a PBEsol-optimized structure of Tl2InHg.

Fermi-level density of states (states/eV/atom): 0.496
E (eV per atom): -61.518
Total magnetic moment (μB per cell): 0.0
Space group: F-43m

abc: 5.290 5.290 5.290
angles: 60.00 60.00 60.00
Fractional positions:
Tl 0.000 0.000 0.000
Tl 0.750 0.750 0.750
Hg 0.500 0.500 0.500
In 0.250 0.250 0.250

***

[4]
The following is a DFT calculation (meta-GGA SCAN) of a PBEsol-optimized structure of Tl2InHg.

Fermi-level density of states (states/eV/atom): 0.496
E (eV per atom): -61.524
Total magnetic moment (μB per cell): 0.0
Space group: P4/mmm

abc: 3.718 3.718 7.622
angles: 90.00 90.00 90.00
Fractional positions:
Tl 0.000 0.000 0.757
Tl 0.000 0.000 0.243
Hg 0.500 0.500 0.000
In 0.500 0.500 0.500

***

[5]
The following is a DFT calculation (meta-GGA SCAN) of a PBEsol-optimized structure of TlInHg2.

Fermi-level density of states (states/eV/atom): 0.424
E (eV per atom): -60.490
Total magnetic moment (μB per cell): 0.0
Space group: C2/m

abc: 3.239 5.958 5.958
angles: 112.01 100.41 100.41
Fractional positions:
Tl 0.500 0.500 0.500
Hg 0.000 0.500 0.000
Hg 0.000 0.000 0.500
In 0.500 0.000 0.000

***

[6]
The following is a DFT calculation (meta-GGA SCAN) of a PBEsol-optimized structure of Tl2InHg.

Fermi-level density of states (states/eV/atom): 0.448
E (eV per atom): -61.508
Total magnetic moment (μB per cell): 0.0
Space group: I-42d

abc: 6.291 6.714 6.714
angles: 77.32 62.06 62.06
Fractional positions:
Tl 0.118 0.007 0.507
Tl 0.632 0.993 0.493
Tl 0.375 0.507 0.993
Tl 0.875 0.493 0.007
Hg 0.750 0.500 0.500
Hg 0.000 0.000 0.000
In 0.250 0.500 0.500
In 0.500 0.000 0.000

***

[7]
The following is a DFT calculation (meta-GGA SCAN) of a PBEsol-optimized structure of Tl2InHg.

Fermi-level density of states (states/eV/atom): 0.414
E (eV per atom): -61.552
Total magnetic moment (μB per cell): 0.0
Space group: Pm

abc: 3.222 5.276 6.417
angles: 90.00 105.28 90.00
Fractional positions:
Tl 0.053 0.000 0.983
Tl 0.694 0.500 0.272
Hg 0.316 0.000 0.492
In 0.436 0.500 0.753

***

[8]
The following is a DFT calculation (meta-GGA SCAN) of a PBEsol-optimized structure of TlInHg2.

Fermi-level density of states (states/eV/atom): 0.456
E (eV per atom): -60.486
Total magnetic moment (μB per cell): 0.0
Space group: P4mm

abc: 3.398 3.398 8.670
angles: 90.00 90.00 89.92
Fractional positions:
Tl 0.500 0.500 0.244
Hg 0.000 0.000 0.985
Hg 0.500 0.500 0.753
In 0.000 0.000 0.518

***

[9]
The following is a DFT calculation (meta-GGA SCAN) of a PBEsol-optimized structure of TlInHg2.

Fermi-level density of states (states/eV/atom): 0.382
E (eV per atom): -60.503
Total magnetic moment (μB per cell): 0.0
Space group: P4/mmm

abc: 3.278 5.543 5.543
angles: 90.00 90.00 90.00
Fractional positions:
Tl 0.500 0.000 0.000
Hg 0.000 0.000 0.500
Hg 0.000 0.500 0.000
In 0.500 0.500 0.500

***

[10]
The following is a DFT calculation (meta-GGA SCAN) of a PBEsol-optimized structure of Tl2InHg.

Fermi-level density of states (states/eV/atom): 0.439
E (eV per atom): -61.519
Total magnetic moment (μB per cell): 0.0
Space group: Fm-3m

abc: 5.296 5.296 5.296
angles: 60.00 60.00 60.00
Fractional positions:
Tl 0.250 0.250 0.250
Tl 0.750 0.750 0.750
Hg 0.000 0.000 0.000
In 0.500 0.500 0.500

***

[11]
The following is a DFT calculation (meta-GGA SCAN) of a PBEsol-optimized structure of Tl2InHg.

Fermi-level density of states (states/eV/atom): 0.496
E (eV per atom): -61.524
Total magnetic moment (μB per cell): 0.0
Space group: Immm

abc: 3.853 5.189 6.168
angles: 114.87 108.20 90.00
Fractional positions:
Tl 0.757 0.757 0.514
Tl 0.243 0.243 0.486
Hg 0.500 0.000 0.000
In 0.000 0.500 0.000

***

[12]
The following is a DFT calculation (meta-GGA SCAN) of a PBEsol-optimized structure of Tl2InHg2.

Fermi-level density of states (states/eV/atom): 0.391
E (eV per atom): -62.816
Total magnetic moment (μB per cell): 0.0
Space group: P4/mbm

abc: 3.714 8.530 8.530
angles: 90.00 90.00 90.00
Fractional positions:
Tl 0.000 0.357 0.857
Tl 0.000 0.857 0.643
Tl 0.000 0.643 0.143
Tl 0.000 0.143 0.357
Hg 0.500 0.157 0.657
Hg 0.500 0.657 0.843
Hg 0.500 0.843 0.343
Hg 0.500 0.343 0.157
In 0.000 0.000 0.000
In 0.000 0.500 0.500

***

- Look up the total magnetic moment of the eighth one.
  0.0 μB per cell